# PBE with a Hubbard U NaCrBF6, relaxed
data_NaCrBF6
_chemical_formula_sum 'Na1 Cr1 B1 F6'
_space_group_name_H-M_alt 'P 1'
_space_group_IT_number 1
_space_group_name_Hall 'P 1'
_cell_length_a 4.317
_cell_length_b 5.984
_cell_length_c 5.399
_cell_angle_alpha 95.30
_cell_angle_beta 88.12
_cell_angle_gamma 72.01
loop_
_atom_site_label
_atom_site_fract_x
_atom_site_fract_y
_atom_site_fract_z
_atom_site_occupancy
F1 0.356 0.675 0.218 1
F2 0.655 0.012 0.366 1
F3 0.284 0.106 0.707 1
F4 0.539 0.373 0.604 1
F5 0.907 0.718 0.754 1
F6 0.150 0.289 0.348 1
B1 0.396 0.203 0.509 1
Cr1 0.656 0.670 0.476 1
Na1 0.057 0.954 0.019 1
# * total moment: 4.00 μB/cell

=====

# PBE with a Hubbard U NaCrB2F8, relaxed
data_NaCrB2F8
_chemical_formula_sum 'Na1 Cr1 B2 F8'
_space_group_name_H-M_alt 'P 1'
_space_group_IT_number 1
_space_group_name_Hall 'P 1'
_cell_length_a 5.045
_cell_length_b 5.045
_cell_length_c 7.358
_cell_angle_alpha 69.95
_cell_angle_beta 69.95
_cell_angle_gamma 60.00
loop_
_atom_site_label
_atom_site_fract_x
_atom_site_fract_y
_atom_site_fract_z
_atom_site_occupancy
B1 0.240 0.240 0.281 1
B2 0.760 0.760 0.719 1
F1 0.029 0.509 0.789 1
F2 0.491 0.326 0.211 1
F3 0.509 0.674 0.789 1
F4 0.971 0.491 0.211 1
F5 0.170 0.170 0.489 1
F6 0.326 0.971 0.211 1
F7 0.830 0.830 0.511 1
F8 0.674 0.029 0.789 1
Na1 0.500 0.500 0.500 1
Cr1 0.000 0.000 0.000 1
# * total moment: 5.00 μB/cell

=====

# PBE with a Hubbard U NbCr2BF, relaxed
data_NbCr2BF
_chemical_formula_sum 'Nb1 Cr2 B1 F1'
_space_group_name_H-M_alt 'P 1'
_space_group_IT_number 1
_space_group_name_Hall 'P 1'
_cell_length_a 4.070
_cell_length_b 4.492
_cell_length_c 4.070
_cell_angle_alpha 90.00
_cell_angle_beta 90.00
_cell_angle_gamma 90.00
loop_
_atom_site_label
_atom_site_fract_x
_atom_site_fract_y
_atom_site_fract_z
_atom_site_occupancy
Cr1 0.500 0.000 0.000 1
Cr2 0.000 0.000 0.500 1
F1 0.000 0.000 0.000 1
Nb1 0.000 0.500 0.000 1
B1 0.500 0.500 0.500 1
# * total moment: 7.63 μB/cell

=====

# PBE with a Hubbard U CrBO2F, relaxed
data_CrBO2F
_chemical_formula_sum 'Cr1 B1 O2 F1'
_space_group_name_H-M_alt 'P 1'
_space_group_IT_number 1
_space_group_name_Hall 'P 1'
_cell_length_a 3.784
_cell_length_b 3.784
_cell_length_c 3.893
_cell_angle_alpha 90.00
_cell_angle_beta 90.00
_cell_angle_gamma 90.00
loop_
_atom_site_label
_atom_site_fract_x
_atom_site_fract_y
_atom_site_fract_z
_atom_site_occupancy
O1 0.500 0.000 0.000 1
O2 0.000 0.500 0.000 1
B1 0.500 0.500 0.500 1
Cr1 0.000 0.000 0.000 1
F1 0.000 0.000 0.500 1
# * total moment: 2.00 μB/cell

=====

# PBE with a Hubbard U CrBO2F, relaxed
data_CrBO2F
_chemical_formula_sum 'Cr1 B1 O2 F1'
_space_group_name_H-M_alt 'P 1'
_space_group_IT_number 1
_space_group_name_Hall 'P 1'
_cell_length_a 3.386
_cell_length_b 3.386
_cell_length_c 3.515
_cell_angle_alpha 90.00
_cell_angle_beta 90.00
_cell_angle_gamma 90.00
loop_
_atom_site_label
_atom_site_fract_x
_atom_site_fract_y
_atom_site_fract_z
_atom_site_occupancy
F1 0.000 0.000 0.500 1
O1 0.000 0.500 0.000 1
O2 0.500 0.000 0.000 1
Cr1 0.500 0.500 0.500 1
B1 0.000 0.000 0.000 1
# * total moment: 4.00 μB/cell

=====

# PBE with a Hubbard U Cr2BPdF, relaxed
data_Cr2BPdF
_chemical_formula_sum 'Cr2 B1 Pd1 F1'
_space_group_name_H-M_alt 'P 1'
_space_group_IT_number 1
_space_group_name_Hall 'P 1'
_cell_length_a 5.138
_cell_length_b 3.883
_cell_length_c 5.138
_cell_angle_alpha 90.00
_cell_angle_beta 90.00
_cell_angle_gamma 90.00
loop_
_atom_site_label
_atom_site_fract_x
_atom_site_fract_y
_atom_site_fract_z
_atom_site_occupancy
Cr1 0.500 0.000 0.000 1
Cr2 0.000 0.000 0.500 1
Pd1 0.000 0.000 0.000 1
B1 0.000 0.500 0.000 1
F1 0.500 0.500 0.500 1
# * total moment: 8.89 μB/cell

=====

no.,final energy (eV/atom)
1,-5.65
2,-5.73
3,-6.04
4,-5.58
5,-6.26
6,-5.28